Compound: Nd4ErTm3S8
Source: Alexandria via LeMat-Bulk
Functional: PBE
Structure: optimized geometry

The calculation puts the formation energy from raw total energies at -31.85 eV per formula unit. The calculation puts the magnetization at 0.0 Bohr magnetons per cell. The value obtained for the total energy is -6.3697 eV per atom.

It has space group R-3m (No. 166, hexagonal axes), with a = 7.8211 Å, b = 7.8211 Å, c = 19.9199 Å, α = 90.00°, β = 90.00° and γ = 120.00°. The distinct sites, in fractional coordinates, are Nd at (0.0000, 0.0000, 0.0000), Nd at (0.0000, 0.5000, 0.0000), Er at (0.0000, 0.0000, 0.5000), Tm at (0.0000, 0.5000, 0.5000), S at (0.0000, 0.0000, 0.2423) and S at (0.0011, 0.5005, 0.7574).

Compound: AcY7Ho12
Source: Alexandria via LeMat-Bulk
Functional: PBE
Structure: optimized geometry

The energy above the most stable polymorph in this dataset is 0 meV/atom. The calculation puts the magnetization at 0.0 Bohr magnetons per cell. The value obtained for the total energy is -4.9868 eV per atom.

It has space group R-3 (No. 148, hexagonal axes), with a = 12.1125 Å, b = 12.1125 Å, c = 15.6721 Å, α = 90.00°, β = 90.00° and γ = 120.00°. The distinct sites, in fractional coordinates, are Ac at (0.0000, 0.0000, 0.0000), Y at (0.0000, 0.0000, 0.5000), Y at (0.0461, 0.1891, 0.7972), Ho at (0.0085, 0.4407, 0.7143) and Ho at (0.0523, 0.5887, 0.0848).

Compound: LaCdAgP2
Source: Alexandria via LeMat-Bulk
Functional: PBE
Structure: optimized geometry

The calculation puts the magnetization at 0.0 Bohr magnetons per cell. The value obtained for the total energy is -3.2464 eV per atom.

It has space group P4/mmm (No. 123), with a = 4.873 Å, b = 4.873 Å, c = 5.959 Å, α = 90.00°, β = 90.00° and γ = 90.00°. The distinct sites, in fractional coordinates, are La at (0.000, 0.000, 0.000), Cd at (0.000, 0.000, 0.500), Ag at (0.500, 0.500, 0.000) and P at (0.000, 0.500, 0.500).

Compound: TlPIrCl2
Source: Alexandria via LeMat-Bulk
Functional: PBE
Structure: optimized geometry

The energy above the most stable polymorph in this dataset is 1465 meV/atom. The calculation puts the formation energy from raw total energies at 6.74 eV per formula unit. The calculation puts the magnetization at 1.6 Bohr magnetons per cell. The value obtained for the total energy is -2.7178 eV per atom.

It has space group P4/mmm (No. 123), with a = 5.193 Å, b = 5.193 Å, c = 5.423 Å, α = 90.00°, β = 90.00° and γ = 90.00°. The distinct sites, in fractional coordinates, are Tl at (0.000, 0.000, 0.000), P at (0.000, 0.000, 0.500), Ir at (0.500, 0.500, 0.500) and Cl at (0.000, 0.500, 0.000).

Compound: Ni2Ag5Cl12
Source: Alexandria via LeMat-Bulk
Functional: PBE
Structure: optimized geometry

The calculation puts the formation energy from raw total energies at -7.92 eV per formula unit. The calculation puts the magnetization at 6.5 Bohr magnetons per cell. The value obtained for the total energy is -2.9419 eV per atom.

It has space group C2/m (No. 12), with a = 15.248 Å, b = 7.034 Å, c = 8.804 Å, α = 90.00°, β = 109.47° and γ = 90.00°. The distinct sites, in fractional coordinates, are Ni at (0.000, 0.246, 0.000), Ag at (0.000, 0.000, 0.500), Ag at (0.152, 0.500, 0.789), Ag at (0.217, 0.500, 0.383), Cl at (0.044, 0.000, 0.196), Cl at (0.044, 0.500, 0.197), Cl at (0.145, 0.247, 0.989) and Cl at (0.150, 0.249, 0.584).

Compound: La2ErH4
Source: Alexandria via LeMat-Bulk
Functional: PBE
Structure: optimized geometry

The calculation puts the magnetization at 0.0 Bohr magnetons per cell. The value obtained for the total energy is -4.3008 eV per atom.

It has space group I4/mmm (No. 139), with a = 4.041 Å, b = 4.041 Å, c = 13.730 Å, α = 90.00°, β = 90.00° and γ = 90.00°. The distinct sites, in fractional coordinates, are La at (0.000, 0.000, 0.163), Er at (0.000, 0.000, 0.500), H at (0.000, 0.000, 0.340) and H at (0.000, 0.500, 0.000).

Compound: AgRhO3
Source: Alexandria via LeMat-Bulk
Functional: PBE
Structure: optimized geometry

The calculation puts the formation energy from raw total energies at -0.50 eV per formula unit. The calculation puts the magnetization at 2.3 Bohr magnetons per cell. The value obtained for the total energy is -5.1147 eV per atom.

It has space group Pm-3m (No. 221), with a = 3.899 Å, b = 3.899 Å, c = 3.899 Å, α = 90.00°, β = 90.00° and γ = 90.00°. The distinct sites, in fractional coordinates, are Ag at (0.000, 0.000, 0.000), Rh at (0.500, 0.500, 0.500) and O at (0.000, 0.500, 0.500).

Compound: NbBiP2S
Source: Alexandria via LeMat-Bulk
Functional: PBE
Structure: optimized geometry

The energy above the most stable polymorph in this dataset is 0 meV/atom. The calculation puts the formation energy from raw total energies at 0.89 eV per formula unit. The calculation puts the magnetization at 0.0 Bohr magnetons per cell. The value obtained for the total energy is -5.6024 eV per atom.

It has space group P4/mmm (No. 123), with a = 4.981 Å, b = 4.981 Å, c = 4.640 Å, α = 90.00°, β = 90.00° and γ = 90.00°. The distinct sites, in fractional coordinates, are Nb at (0.000, 0.000, 0.000), Bi at (0.500, 0.500, 0.500), P at (0.000, 0.500, 0.000) and S at (0.000, 0.000, 0.500).

Compound: CaTa2P
Source: Alexandria via LeMat-Bulk
Functional: PBE
Structure: optimized geometry

The energy above the most stable polymorph in this dataset is 436 meV/atom. The calculation puts the magnetization at 0.0 Bohr magnetons per cell. The value obtained for the total energy is -7.4928 eV per atom.

It has space group Imm2 (No. 44), with a = 3.253 Å, b = 5.086 Å, c = 9.425 Å, α = 90.00°, β = 90.00° and γ = 90.00°. The distinct sites, in fractional coordinates, are Ca at (0.000, 0.000, 0.000), Ta at (0.000, 0.000, 0.442), Ta at (0.000, 0.500, 0.205) and P at (0.000, 0.500, 0.745).

Compound: Co2PBr
Source: Alexandria via LeMat-Bulk
Functional: PBE
Structure: optimized geometry

The energy above the most stable polymorph in this dataset is 844 meV/atom. The calculation puts the formation energy from raw total energies at 2.56 eV per formula unit. The calculation puts the magnetization at 2.1 Bohr magnetons per cell. The value obtained for the total energy is -4.6835 eV per atom.

It has space group Pmmm (No. 47), with a = 2.901 Å, b = 3.648 Å, c = 6.481 Å, α = 90.00°, β = 90.00° and γ = 90.00°. The distinct sites, in fractional coordinates, are Co at (0.000, 0.000, 0.000), Co at (0.500, 0.000, 0.500), P at (0.000, 0.500, 0.500) and Br at (0.500, 0.500, 0.000).